DFT (PBE) results for a relaxed structure of CrAgPt2.

Values from the calculation:
N(E_F)	4.3	states/eV/f.u.
crystal system	tetragonal
space-group type	P4mm (99)
mass density	14.46	g cm⁻³
M_tot	0.7671	μB/atom
distance to the lowest polymorph of the same formula	21.6	kJ/mol of atoms
energy relative to the elements	0.085	eV/atom

Lattice parameters (Å, degrees): 2.810 2.810 7.997 90.00 90.00 90.00
Last column: magnetic moment on the atom in μB.
Fractional positions:
Ag (0.000, 0.000, 0.508)  0.04
Cr (0.500, 0.500, 0.767)  2.83
Pt (0.000, 0.000, 0.984)  0.04
Pt (0.500, 0.500, 0.241)  -0.05